Record 1
Computed, not measured: crystalline NaTiV2Pd at its relaxed geometry at the PBE-GGA level of DFT.

Unit cell a=4.634 b=4.634 c=4.501 alpha=90.00 beta=90.00 gamma=90.00
Space group P4/mmm (No. 123)
Asymmetric unit:
Na 0.000 0.000 0.000 x1
Ti 0.500 0.500 0.500 x1
V 0.000 0.500 0.000 x2
Pd 0.000 0.000 0.500 x1

Values from the calculation:
* crystal system: tetragonal
* final energy: -24.66 eV per formula unit
* E_form: 1.60 eV/atom
* relative energy among the computed polymorphs: 0 meV/atom

=====

Record 2
Computed, not measured: crystalline NaTl6Pd4 at its relaxed geometry at the PBE-GGA level of DFT.

Unit cell a=7.222 b=7.222 c=10.334 alpha=90.00 beta=90.00 gamma=90.00
Space group I-42m (No. 121)
Asymmetric unit:
Na 0.000 0.000 0.000 x2
Tl 0.000 0.500 0.000 x4
Tl 0.179 0.179 0.287 x8
Pd 0.166 0.166 0.574 x8

Values from the calculation:
* crystal system: tetragonal
* final energy: -38.15 eV per formula unit
* E_form: -0.17 eV/atom